[1]
## ReAgBr (PBE-GGA)

Data for a geometry-optimized ReAgBr structure.

The calculated total energy is -4.857 eV per atom. The calculation puts the formation energy without anion corrections at 0.80 eV/atom.

The space group is P3m1 (No. 156) and the conventional cell measures 3.0294, 3.0294 and 7.0340 Å, with angles of 90.00, 90.00 and 120.00 degrees. The distinct sites, in fractional coordinates, are Re at (0.0000, 0.0000, 0.0000), Ag at (0.6667, 0.3333, 0.3183) and Br at (0.3333, 0.6667, 0.7272).

[2]
## Zr6As2P (PBE-GGA)

Data for a geometry-optimized Zr6As2P structure.

The formation energy is -0.87 eV/atom. The calculated total energy is -8.207 eV per atom.

The space group is P2_1/c (No. 14) and the conventional cell measures 6.0171, 7.0321 and 10.5892 Å, with angles of 90.00, 123.72 and 90.00 degrees. The distinct sites, in fractional coordinates, are Zr at (0.0881, 0.1837, 0.4467), Zr at (0.2929, 0.6718, 0.4447), Zr at (0.3799, 0.0265, 0.2319), As at (0.1780, 0.1242, 0.7437) and P at (0.5000, 0.0000, 0.5000).

[3]
## Ce2Nd7Tm2 (PBE-GGA)

Data for a geometry-optimized Ce2Nd7Tm2 structure.

The formation energy is 0.19 eV/atom. The calculated total energy is -4.733 eV per atom.

The space group is C2/m (No. 12) and the conventional cell measures 11.1940, 11.7808 and 6.0887 Å, with angles of 90.00, 111.71 and 90.00 degrees. The distinct sites, in fractional coordinates, are Ce at (0.0000, 0.2154, 0.0000), Nd at (0.0000, 0.0000, 0.5000), Nd at (0.0909, 0.5000, 0.3044), Nd at (0.1730, 0.2443, 0.6828) and Tm at (0.2242, 0.0000, 0.0773).

[4]
## BaCl (PBE-GGA)

Data for a geometry-optimized BaCl structure.

The calculated total energy is -3.642 eV per atom. The calculation puts the formation energy without anion corrections at -1.76 eV/atom.

The space group is Cm (No. 8) and the conventional cell measures 8.4178, 4.8488 and 14.4895 Å, with angles of 90.00, 90.89 and 90.00 degrees. The distinct sites, in fractional coordinates, are Ba at (0.0000, 0.0000, 0.0000), Ba at (0.0155, 0.0000, 0.5748), Ba at (0.3405, 0.0000, 0.3140), Cl at (0.1646, 0.5000, 0.9092), Cl at (0.3357, 0.0000, 0.0962) and Cl at (0.3507, 0.0000, 0.6686).